Ac5Tl4Sn | PBE-GGA | optimized geometry

DFT total energy = -38.1 eV per cell
density of states at the Fermi level = 9.62 states/eV per cell
magnetization = 0.000 μB/f.u.
DFT formation energy = -0.405 eV per atom
space-group type = P4/mmm

```
Ac5Tl4Sn
1.0
4.137 0.000 0.000
0.000 4.137 0.000
0.000 0.000 20.552
Ac Tl Sn
5 4 1
Direct
0.000 0.000 0.000 Ac
0.000 0.000 0.201 Ac
0.000 0.000 0.402 Ac
0.000 0.000 0.598 Ac
0.000 0.000 0.799 Ac
0.500 0.500 0.100 Tl
0.500 0.500 0.298 Tl
0.500 0.500 0.702 Tl
0.500 0.500 0.900 Tl
0.500 0.500 0.500 Sn
```